No. 1
## TaAlO4 (PBEsol)

Data for an optimized crystal structure of TaAlO4.

a b c (Å): 4.472 11.298 4.768
angles (deg): 90.00 90.00 90.00
Sites, in units of the cell vectors:
Ta 0.000 0.169 0.250
Ta 0.000 0.831 0.750
Ta 0.500 0.331 0.750
Ta 0.500 0.669 0.250
Al 0.000 0.435 0.250
Al 0.000 0.565 0.750
Al 0.500 0.065 0.750
Al 0.500 0.935 0.250
O 0.226 0.312 0.081
O 0.226 0.688 0.581
O 0.233 0.442 0.577
O 0.233 0.558 0.077
O 0.267 0.058 0.077
O 0.267 0.942 0.577
O 0.274 0.188 0.581
O 0.274 0.812 0.081
O 0.726 0.188 0.919
O 0.726 0.812 0.419
O 0.733 0.058 0.423
O 0.733 0.942 0.923
O 0.767 0.442 0.923
O 0.767 0.558 0.423
O 0.774 0.312 0.419
O 0.774 0.688 0.919

* formation energy without anion corrections: -2.96 eV per atom
* E: -9.23 eV per atom
* mass density: 7.50 g/cm3

---

No. 2
## SbAsPS2 (PBEsol)

Data for an optimized crystal structure of SbAsPS2.

a b c (Å): 4.633 4.633 4.769
angles (deg): 90.00 90.00 90.00
Sites, in units of the cell vectors:
Sb 0.000 0.000 0.000
As 0.500 0.500 0.500
P 0.500 0.500 0.000
S 0.000 0.500 0.500
S 0.500 0.000 0.500

* formation energy without anion corrections: 0.50 eV per atom
* E: -4.35 eV per atom
* mass density: 4.73 g/cm3

---

No. 3
## CrHg3Mo (PBEsol)

Data for an optimized crystal structure of CrHg3Mo.

a b c (Å): 5.031 5.031 5.031
angles (deg): 90.00 90.00 90.00
Sites, in units of the cell vectors:
Cr 0.000 0.000 0.000
Hg 0.000 0.000 0.500
Hg 0.000 0.500 0.000
Hg 0.500 0.000 0.000
Mo 0.500 0.500 0.500

* energy of formation from the pure elements: 1.480 eV/atom
* E: -3.26 eV per atom
* mass density: 9.78 g/cm3

---

No. 4
## LiCaAl2 (PBEsol)

Data for an optimized crystal structure of LiCaAl2.

a b c (Å): 3.261 3.261 7.373
angles (deg): 90.00 90.00 90.00
Sites, in units of the cell vectors:
Li 0.000 0.000 0.000
Ca 0.000 0.000 0.500
Al 0.500 0.500 0.196
Al 0.500 0.500 0.804

* E above lowest polymorph: 0.000 eV per atom
* energy of formation from the pure elements: -0.152 eV/atom
* E: -3.22 eV per atom
* mass density: 2.14 g/cm3